[1]
Entry from the Alexandria database: an optimized crystal structure of Ta2Cr4B (PBE).

Computed properties:
The value obtained for the formation energy is 512 meV per atom.

a b c (Å): 3.8400 3.8400 13.3550
angles (deg): 90.00 90.00 90.00
Space group I4/mmm (No. 139)
Inequivalent atoms, fractional coordinates:
Ta 0.0000 0.0000 0.1602 [4 per cell]
Cr 0.0000 0.0000 0.3513 [4 per cell]
Cr 0.0000 0.5000 0.0000 [4 per cell]
B 0.0000 0.0000 0.5000 [2 per cell]


[2]
Entry from the Alexandria database: an optimized crystal structure of TaCrB4 (PBE).

Computed properties:
The value obtained for the formation energy is -517 meV per atom.

a b c (Å): 3.0696 3.0696 6.2578
angles (deg): 90.00 90.00 120.00
Space group P6/mmm (No. 191)
Inequivalent atoms, fractional coordinates:
Ta 0.0000 0.0000 0.0000 [1 per cell]
Cr 0.0000 0.0000 0.5000 [1 per cell]
B 0.3333 0.6667 0.2661 [4 per cell]


| no. | electronic total energy (eV/cell) | density (Mg/m³) |
| --- | --- | --- |
| 1 | -130.587 | 9.79 |
| 2 | -51.287 | 8.98 |